The following is a DFT calculation (GGA-PBE) of crystalline AcAg3Pd at its relaxed geometry.

a = 9.902 Å, b = 9.902 Å, c = 9.902 Å
α = 147.72°, β = 147.72°, γ = 46.29°
Fractional coordinates of all 10 atoms:
Ac1 0.179 0.179 0.000
Ac2 0.821 0.821 0.000
Ag1 0.375 0.622 0.753
Ag2 0.378 0.131 0.753
Ag3 0.378 0.625 0.247
Ag4 0.546 0.046 0.500
Ag5 0.869 0.622 0.247
Ag6 0.954 0.454 0.500
Pd1 0.250 0.750 0.500
Pd2 0.500 0.500 0.000

Results
distance to the lowest polymorph of the same formula	1.51	eV/f.u.
D(E_F)	0.567	states/eV/atom
V	275.9	Å³ per cell
spin magnetization	0.000	Bohr magnetons per cell
formation enthalpy at 0 K	-16	meV per atom